An optimized crystal structure of La2ScGe. Source: Alexandria via LeMat-Bulk, functional GGA-PBE.

Results
As for the calculated formation energy: -348 meV/atom. Its uncorrected energy is -22.20 eV per cell.

abc: 4.729 4.729 4.747
angles: 90.00 90.00 90.00
Space group P4/mmm (No. 123)
One atom of each set of equivalent atoms:
La 0.000 0.500 0.000 x2
Sc 0.000 0.000 0.500 x1
Ge 0.500 0.500 0.500 x1



An optimized crystal structure of La2ScGe2. Source: Alexandria via LeMat-Bulk, functional GGA-PBE.

Results
The calculation puts the relative energy among the computed polymorphs at 0 meV/atom. As for the calculated formation energy: -791 meV/atom. Its uncorrected energy is -58.76 eV per cell.

abc: 7.573 7.573 4.569
angles: 90.00 90.00 90.00
Space group P4/mbm (No. 127)
One atom of each set of equivalent atoms:
La 0.176 0.324 0.000 x4
Sc 0.000 0.000 0.500 x2
Ge 0.125 0.625 0.500 x4



An optimized crystal structure of La3ScGe. Source: Alexandria via LeMat-Bulk, functional GGA-PBE.

Results
The calculation puts the relative energy among the computed polymorphs at 0 meV/atom. As for the calculated formation energy: 65 meV/atom. Its uncorrected energy is -25.41 eV per cell.

abc: 5.799 5.799 5.799
angles: 90.00 90.00 90.00
Space group Pm-3m (No. 221)
One atom of each set of equivalent atoms:
La 0.000 0.000 0.500 x3
Sc 0.500 0.500 0.500 x1
Ge 0.000 0.000 0.000 x1



An optimized crystal structure of LaScGe3. Source: Alexandria via LeMat-Bulk, functional GGA-PBE.

Results
As for the calculated formation energy: -242 meV/atom. Its uncorrected energy is -26.32 eV per cell.

abc: 5.041 5.041 5.041
angles: 90.00 90.00 90.00
Space group Pm-3m (No. 221)
One atom of each set of equivalent atoms:
La 0.000 0.000 0.000 x1
Sc 0.500 0.500 0.500 x1
Ge 0.000 0.500 0.500 x3



An optimized crystal structure of LaSc3Ge. Source: Alexandria via LeMat-Bulk, functional GGA-PBE.

Results
The calculation puts the relative energy among the computed polymorphs at 0 meV/atom. As for the calculated formation energy: -54 meV/atom. Its uncorrected energy is -28.81 eV per cell.

abc: 5.211 5.211 5.211
angles: 90.00 90.00 90.00
Space group Pm-3m (No. 221)
One atom of each set of equivalent atoms:
La 0.000 0.000 0.000 x1
Sc 0.000 0.500 0.500 x3
Ge 0.500 0.500 0.500 x1



An optimized crystal structure of La3ScGe2. Source: Alexandria via LeMat-Bulk, functional GGA-PBE.

Results
As for the calculated formation energy: -627 meV/atom. Its uncorrected energy is -68.22 eV per cell.

abc: 4.359 4.683 16.563
angles: 90.00 90.00 90.00
Space group Immm (No. 71)
One atom of each set of equivalent atoms:
La 0.000 0.000 0.000 x2
La 0.000 0.500 0.319 x4
Sc 0.000 0.000 0.500 x2
Ge 0.000 0.500 0.128 x4



An optimized crystal structure of LaScGe3. Source: Alexandria via LeMat-Bulk, functional GGA-PBE.

Results
As for the calculated formation energy: 743 meV/atom. Its uncorrected energy is -21.40 eV per cell.

abc: 5.433 5.433 5.433
angles: 90.00 90.00 90.00
Space group Pm-3m (No. 221)
One atom of each set of equivalent atoms:
La 0.000 0.000 0.000 x1
Sc 0.500 0.500 0.500 x1
Ge 0.000 0.000 0.500 x3



An optimized crystal structure of LaScZnGe. Source: Alexandria via LeMat-Bulk, functional GGA-PBE.

Results
As for the calculated formation energy: -501 meV/atom. Its uncorrected energy is -76.62 eV per cell.

abc: 7.117 7.117 7.117
angles: 90.00 90.00 90.00
Space group F-43m (No. 216)
One atom of each set of equivalent atoms:
La 0.000 0.000 0.000 x4
Sc 0.000 0.000 0.500 x4
Zn 0.250 0.250 0.250 x4
Ge 0.250 0.250 0.750 x4



Q: Look up the uncorrected energy of the fourth one.
A: -26.32 eV per cell



Q: What is the formula in the seventh record?
A: LaScGe3